Entry from the Alexandria database: an optimized crystal structure of KBaTc (PBEsol).

Properties
Formation energy ... 1.25 eV/atom
Energy relative to the lowest polymorph listed for this composition ... 0.0000 eV/atom
Magnetization ... 0.586 μB/atom

Cell: 3.4413 3.4413 17.2920 Å, 90.00 90.00 90.00°
Element x y z (fractional)
K (0.0000, 0.0000, 0.0000)
K (0.5000, 0.5000, 0.5000)
Ba (0.0000, 0.0000, 0.2589)
Ba (0.5000, 0.5000, 0.7589)
Tc (0.0000, 0.0000, 0.6408)
Tc (0.5000, 0.5000, 0.1408)